{
  "formula": "Cs2CdAu2Br6",
  "functional": "GGA-PBE",
  "state": "optimized geometry",
  "raw_formation_energy_ev_per_fu": -9.57,
  "vol_a3_per_cell": 400,
  "total_energy_ry_per_atom": -0.192,
  "m_tot_mub_per_cell": 0.00,
  "cell": [[-7.531, 2.278, -0.084], [3.742, -1.491, -7.354], [-1.976, -6.366, 4.570]],
  "species": ["Br", "Cd", "Au", "Br", "Br", "Br", "Cs", "Br", "Br", "Au", "Cs"],
  "fractional_positions": [[0.300, 0.082, 0.781], [0.500, 0.000, 0.500], [0.073, 0.146, 0.219], [0.263, 0.526, 0.299], [0.737, 0.474, 0.701], [0.782, 0.082, 0.781], [0.739, 0.477, 0.222], [0.218, 0.918, 0.219], [0.700, 0.918, 0.219], [0.927, 0.854, 0.781], [0.261, 0.523, 0.778]]
}